A geometry-optimized SiBr structure, computed with PBE-GGA.

## Properties
space-group type: I-43m (217)
VASP energy: -52.96 eV/cell
mass density: 2.1 g cm⁻³

Lattice parameters (Å, degrees): 8.762 8.762 8.762 90.00 90.00 90.00
Atoms (fractional coordinates):
1 Si 0.096 0.096 0.096
2 Si 0.096 0.904 0.904
3 Si 0.404 0.404 0.596
4 Si 0.404 0.596 0.404
5 Si 0.596 0.404 0.404
6 Si 0.596 0.596 0.596
7 Si 0.904 0.096 0.904
8 Si 0.904 0.904 0.096
9 Br 0.242 0.242 0.242
10 Br 0.242 0.758 0.758
11 Br 0.258 0.258 0.742
12 Br 0.258 0.742 0.258
13 Br 0.742 0.258 0.258
14 Br 0.742 0.742 0.742
15 Br 0.758 0.242 0.758
16 Br 0.758 0.758 0.242

***

A geometry-optimized SiBr structure, computed with PBE-GGA.

## Properties
space-group type: P6_3/m (176)
VASP energy: -44.50 eV/cell
mass density: 2.8 g cm⁻³

Lattice parameters (Å, degrees): 10.519 10.519 3.962 90.00 90.00 120.00
Atoms (fractional coordinates):
1 Si 0.055 0.877 0.250
2 Si 0.123 0.178 0.250
3 Si 0.178 0.055 0.750
4 Si 0.822 0.945 0.250
5 Si 0.877 0.822 0.750
6 Si 0.945 0.123 0.750
7 Br 0.128 0.708 0.250
8 Br 0.292 0.420 0.250
9 Br 0.420 0.128 0.750
10 Br 0.580 0.872 0.250
11 Br 0.708 0.580 0.750
12 Br 0.872 0.292 0.750

***

A geometry-optimized Si2Br structure, computed with PBE-GGA.

## Properties
space-group type: Cmcm (63)
VASP energy: -49.15 eV/cell
mass density: 2.8 g cm⁻³

Lattice parameters (Å, degrees): 3.895 18.805 4.470 90.00 90.00 90.00
Atoms (fractional coordinates):
1 Si 0.000 0.032 0.250
2 Si 0.000 0.396 0.750
3 Si 0.000 0.604 0.250
4 Si 0.000 0.968 0.750
5 Si 0.500 0.104 0.250
6 Si 0.500 0.468 0.750
7 Si 0.500 0.532 0.250
8 Si 0.500 0.896 0.750
9 Br 0.000 0.343 0.250
10 Br 0.000 0.657 0.750
11 Br 0.500 0.157 0.750
12 Br 0.500 0.843 0.250

***

A geometry-optimized SiBr structure, computed with PBE-GGA.

## Properties
space-group type: Cmme (67)
VASP energy: -26.56 eV/cell
mass density: 3.3 g cm⁻³

Lattice parameters (Å, degrees): 3.887 6.180 9.024 90.00 90.00 90.00
Atoms (fractional coordinates):
1 Si 0.000 0.250 0.075
2 Si 0.000 0.750 0.925
3 Si 0.500 0.250 0.925
4 Si 0.500 0.750 0.075
5 Br 0.000 0.250 0.721
6 Br 0.000 0.750 0.279
7 Br 0.500 0.250 0.279
8 Br 0.500 0.750 0.721

***

A geometry-optimized SiBr structure, computed with PBE-GGA.

## Properties
space-group type: Pnma (62)
VASP energy: -28.85 eV/cell
mass density: 2.6 g cm⁻³

Lattice parameters (Å, degrees): 12.136 3.949 5.667 90.00 90.00 90.00
Atoms (fractional coordinates):
1 Si 0.050 0.250 0.012
2 Si 0.450 0.750 0.512
3 Si 0.550 0.250 0.488
4 Si 0.950 0.750 0.988
5 Br 0.144 0.250 0.357
6 Br 0.356 0.750 0.857
7 Br 0.644 0.250 0.143
8 Br 0.856 0.750 0.643

***

A geometry-optimized Si5Br4 structure, computed with PBE-GGA.

## Properties
space-group type: I4/mmm (139)
VASP energy: -29.32 eV/cell
mass density: 3.9 g cm⁻³

Lattice parameters (Å, degrees): 7.810 7.810 7.810 92.71 92.71 154.90
Atoms (fractional coordinates):
1 Si 0.000 0.000 0.000
2 Si 0.322 0.322 0.643
3 Si 0.322 0.678 0.000
4 Si 0.678 0.322 0.000
5 Si 0.678 0.678 0.357
6 Br 0.000 0.300 0.300
7 Br 0.000 0.700 0.700
8 Br 0.300 0.000 0.300
9 Br 0.700 0.000 0.700

***

A geometry-optimized SiBr structure, computed with PBE-GGA.

## Properties
space-group type: P2_12_12_1 (19)
VASP energy: -57.96 eV/cell
mass density: 3.1 g cm⁻³

Lattice parameters (Å, degrees): 6.389 8.150 8.897 90.00 90.00 90.00
Atoms (fractional coordinates):
1 Si 0.014 0.065 0.062
2 Si 0.222 0.312 0.066
3 Si 0.278 0.688 0.566
4 Si 0.486 0.935 0.562
5 Si 0.514 0.435 0.938
6 Si 0.722 0.188 0.934
7 Si 0.778 0.812 0.434
8 Si 0.986 0.565 0.438
9 Br 0.047 0.720 0.762
10 Br 0.051 0.569 0.158
11 Br 0.449 0.431 0.658
12 Br 0.453 0.280 0.262
13 Br 0.547 0.780 0.238
14 Br 0.551 0.931 0.842
15 Br 0.949 0.069 0.342
16 Br 0.953 0.220 0.738

***

A geometry-optimized SiBr structure, computed with PBE-GGA.

## Properties
space-group type: P4_2/mnm (136)
VASP energy: -24.63 eV/cell
mass density: 2.2 g cm⁻³

Lattice parameters (Å, degrees): 9.920 9.920 3.297 90.00 90.00 90.00
Atoms (fractional coordinates):
1 Si 0.125 0.125 0.000
2 Si 0.375 0.625 0.500
3 Si 0.625 0.375 0.500
4 Si 0.875 0.875 0.000
5 Br 0.127 0.873 0.000
6 Br 0.373 0.373 0.500
7 Br 0.627 0.627 0.500
8 Br 0.873 0.127 0.000

***

A geometry-optimized Si3Br5 structure, computed with PBE-GGA.

## Properties
space-group type: Cmmm (65)
VASP energy: -45.55 eV/cell
mass density: 3.7 g cm⁻³

Lattice parameters (Å, degrees): 8.913 12.517 3.843 90.00 90.00 90.00
Atoms (fractional coordinates):
1 Si 0.000 0.000 0.000
2 Si 0.000 0.330 0.500
3 Si 0.000 0.670 0.500
4 Si 0.500 0.170 0.500
5 Si 0.500 0.500 0.000
6 Si 0.500 0.830 0.500
7 Br 0.000 0.500 0.000
8 Br 0.199 0.000 0.500
9 Br 0.250 0.250 0.000
10 Br 0.250 0.750 0.000
11 Br 0.301 0.500 0.500
12 Br 0.500 0.000 0.000
13 Br 0.699 0.500 0.500
14 Br 0.750 0.250 0.000
15 Br 0.750 0.750 0.000
16 Br 0.801 0.000 0.500

***

A geometry-optimized SiBr5 structure, computed with PBE-GGA.

## Properties
space-group type: F-43m (216)
VASP energy: -9.11 eV/cell
mass density: 4.3 g cm⁻³

Lattice parameters (Å, degrees): 6.148 6.148 6.148 60.00 60.00 60.00
Atoms (fractional coordinates):
1 Si 0.000 0.000 0.000
2 Br 0.375 0.375 0.375
3 Br 0.375 0.375 0.875
4 Br 0.375 0.875 0.375
5 Br 0.750 0.750 0.750
6 Br 0.875 0.375 0.375

***

A geometry-optimized Si2Br structure, computed with PBE-GGA.

## Properties
space-group type: Cm (8)
VASP energy: -46.56 eV/cell
mass density: 2.0 g cm⁻³

Lattice parameters (Å, degrees): 14.730 3.645 8.332 90.00 94.34 90.00
Atoms (fractional coordinates):
1 Si 0.000 0.000 0.000
2 Si 0.022 0.500 0.178
3 Si 0.353 0.000 0.382
4 Si 0.405 0.500 0.229
5 Si 0.500 0.500 0.000
6 Si 0.522 0.000 0.178
7 Si 0.853 0.500 0.382
8 Si 0.905 0.000 0.229
9 Br 0.198 0.000 0.385
10 Br 0.458 0.500 0.733
11 Br 0.698 0.500 0.385
12 Br 0.958 0.000 0.733

***

A geometry-optimized SiBr structure, computed with PBE-GGA.

## Properties
space-group type: Pm-3m (221)
VASP energy: -5.74 eV/cell
mass density: 4.1 g cm⁻³

Lattice parameters (Å, degrees): 3.528 3.528 3.528 90.00 90.00 90.00
Atoms (fractional coordinates):
1 Si 0.000 0.000 0.000
2 Br 0.500 0.500 0.500

***

A geometry-optimized SiBr structure, computed with PBE-GGA.

## Properties
space-group type: P-1 (2)
VASP energy: -15.86 eV/cell
mass density: 3.0 g cm⁻³

Lattice parameters (Å, degrees): 3.973 3.973 8.959 77.97 77.70 60.00
Atoms (fractional coordinates):
1 Si 0.180 0.179 0.459
2 Si 0.820 0.821 0.541
3 Br 0.265 0.258 0.200
4 Br 0.735 0.742 0.800

***

A geometry-optimized SiBr structure, computed with PBE-GGA.

## Properties
space-group type: Pmn2_1 (31)
VASP energy: -45.49 eV/cell
mass density: 2.8 g cm⁻³

Lattice parameters (Å, degrees): 10.406 9.535 3.808 90.00 90.00 90.00
Atoms (fractional coordinates):
1 Si 0.000 0.133 0.000
2 Si 0.214 0.062 0.854
3 Si 0.286 0.938 0.354
4 Si 0.500 0.867 0.500
5 Si 0.714 0.938 0.354
6 Si 0.786 0.062 0.854
7 Br 0.000 0.367 0.006
8 Br 0.175 0.739 0.252
9 Br 0.325 0.261 0.752
10 Br 0.500 0.633 0.506
11 Br 0.675 0.261 0.752
12 Br 0.825 0.739 0.252

***

A geometry-optimized SiBr structure, computed with PBE-GGA.

## Properties
space-group type: R-3m (166)
VASP energy: -38.28 eV/cell
mass density: 2.6 g cm⁻³

Lattice parameters (Å, degrees): 4.748 4.748 21.029 90.00 90.00 120.00
Atoms (fractional coordinates):
1 Si 0.000 0.000 0.059
2 Si 0.000 0.000 0.941
3 Si 0.333 0.667 0.607
4 Si 0.333 0.667 0.726
5 Si 0.667 0.333 0.274
6 Si 0.667 0.333 0.393
7 Br 0.000 0.000 0.398
8 Br 0.000 0.000 0.602
9 Br 0.333 0.667 0.065
10 Br 0.333 0.667 0.269
11 Br 0.667 0.333 0.731
12 Br 0.667 0.333 0.935

***

A geometry-optimized SiBr structure, computed with PBE-GGA.

## Properties
space-group type: P6_3/mmc (194)
VASP energy: -12.09 eV/cell
mass density: 3.9 g cm⁻³

Lattice parameters (Å, degrees): 3.479 3.479 8.660 90.00 90.00 120.00
Atoms (fractional coordinates):
1 Si 0.333 0.667 0.250
2 Si 0.667 0.333 0.750
3 Br 0.000 0.000 0.000
4 Br 0.000 0.000 0.500

***

A geometry-optimized SiBr structure, computed with PBE-GGA.

## Properties
space-group type: P6_3/mmc (194)
VASP energy: -12.45 eV/cell
mass density: 3.5 g cm⁻³

Lattice parameters (Å, degrees): 4.749 4.749 5.245 90.00 90.00 120.00
Atoms (fractional coordinates):
1 Si 0.000 0.000 0.000
2 Si 0.000 0.000 0.500
3 Br 0.333 0.667 0.250
4 Br 0.667 0.333 0.750

***

A geometry-optimized SiBr structure, computed with PBE-GGA.

## Properties
space-group type: P2_13 (198)
VASP energy: -24.21 eV/cell
mass density: 3.6 g cm⁻³

Lattice parameters (Å, degrees): 5.842 5.842 5.842 90.00 90.00 90.00
Atoms (fractional coordinates):
1 Si 0.145 0.145 0.145
2 Si 0.355 0.855 0.645
3 Si 0.645 0.355 0.855
4 Si 0.855 0.645 0.355
5 Br 0.119 0.619 0.881
6 Br 0.381 0.381 0.381
7 Br 0.619 0.881 0.119
8 Br 0.881 0.119 0.619

***

A geometry-optimized SiBr4 structure, computed with PBE-GGA.

## Properties
space-group type: P2_1/c (14)
VASP energy: -64.48 eV/cell
mass density: 2.6 g cm⁻³

Lattice parameters (Å, degrees): 11.157 7.214 11.328 90.00 105.12 90.00
Atoms (fractional coordinates):
1 Si 0.250 0.068 0.158
2 Si 0.250 0.432 0.658
3 Si 0.750 0.568 0.342
4 Si 0.750 0.932 0.842
5 Br 0.097 0.574 0.713
6 Br 0.097 0.926 0.213
7 Br 0.196 0.141 0.608
8 Br 0.196 0.359 0.108
9 Br 0.287 0.576 0.499
10 Br 0.287 0.924 0.999
11 Br 0.419 0.064 0.313
12 Br 0.419 0.436 0.813
13 Br 0.581 0.564 0.187
14 Br 0.581 0.936 0.687
15 Br 0.713 0.076 0.001
16 Br 0.713 0.424 0.501
17 Br 0.804 0.641 0.892
18 Br 0.804 0.859 0.392
19 Br 0.903 0.074 0.787
20 Br 0.903 0.426 0.287

***

A geometry-optimized SiBr structure, computed with PBE-GGA.

## Properties
space-group type: I4/m (87)
VASP energy: -56.31 eV/cell
mass density: 2.8 g cm⁻³

Lattice parameters (Å, degrees): 12.515 12.515 3.322 90.00 90.00 90.00
Atoms (fractional coordinates):
1 Si 0.030 0.393 0.000
2 Si 0.107 0.530 0.500
3 Si 0.393 0.970 0.000
4 Si 0.470 0.107 0.500
5 Si 0.530 0.893 0.500
6 Si 0.607 0.030 0.000
7 Si 0.893 0.470 0.500
8 Si 0.970 0.607 0.000
9 Br 0.072 0.243 0.500
10 Br 0.243 0.928 0.500
11 Br 0.257 0.572 0.000
12 Br 0.428 0.257 0.000
13 Br 0.572 0.743 0.000
14 Br 0.743 0.428 0.000
15 Br 0.757 0.072 0.500
16 Br 0.928 0.757 0.500

***

A geometry-optimized Si2Br3 structure, computed with PBE-GGA.

## Properties
space-group type: P-3m1 (164)
VASP energy: -15.14 eV/cell
mass density: 3.2 g cm⁻³

Lattice parameters (Å, degrees): 4.262 4.262 9.637 90.00 90.00 120.00
Atoms (fractional coordinates):
1 Si 0.333 0.667 0.328
2 Si 0.667 0.333 0.672
3 Br 0.000 0.000 0.500
4 Br 0.333 0.667 0.804
5 Br 0.667 0.333 0.196

***

A geometry-optimized SiBr structure, computed with PBE-GGA.

## Properties
space-group type: Pmmn (59)
VASP energy: -39.88 eV/cell
mass density: 2.6 g cm⁻³

Lattice parameters (Å, degrees): 5.501 12.876 5.818 90.00 90.00 90.00
Atoms (fractional coordinates):
1 Si 0.250 0.156 0.165
2 Si 0.250 0.344 0.165
3 Si 0.250 0.750 0.913
4 Si 0.750 0.250 0.087
5 Si 0.750 0.656 0.835
6 Si 0.750 0.844 0.835
7 Br 0.250 0.250 0.539
8 Br 0.250 0.597 0.670
9 Br 0.250 0.903 0.670
10 Br 0.750 0.097 0.330
11 Br 0.750 0.403 0.330
12 Br 0.750 0.750 0.461

***

A geometry-optimized Si2Br3 structure, computed with PBE-GGA.

## Properties
space-group type: Fdd2 (43)
VASP energy: -32.29 eV/cell
mass density: 2.9 g cm⁻³

Lattice parameters (Å, degrees): 8.255 7.171 8.584 62.44 50.36 67.20
Atoms (fractional coordinates):
1 Si 0.357 0.643 0.496
2 Si 0.643 0.357 0.504
3 Si 0.746 0.754 0.607
4 Si 0.754 0.746 0.893
5 Br 0.007 0.431 0.864
6 Br 0.013 0.013 0.487
7 Br 0.386 0.552 0.243
8 Br 0.431 0.007 0.698
9 Br 0.552 0.386 0.819
10 Br 0.763 0.763 0.237

***

A geometry-optimized Si2Br structure, computed with PBE-GGA.

## Properties
space-group type: C2/m (12)
VASP energy: -48.28 eV/cell
mass density: 2.5 g cm⁻³

Lattice parameters (Å, degrees): 16.921 3.501 6.525 90.00 110.39 90.00
Atoms (fractional coordinates):
1 Si 0.216 0.000 0.354
2 Si 0.228 0.500 0.089
3 Si 0.272 0.000 0.911
4 Si 0.284 0.500 0.646
5 Si 0.716 0.500 0.354
6 Si 0.728 0.000 0.089
7 Si 0.772 0.500 0.911
8 Si 0.784 0.000 0.646
9 Br 0.081 0.000 0.342
10 Br 0.419 0.500 0.658
11 Br 0.581 0.500 0.342
12 Br 0.919 0.000 0.658